(1)
A plane-wave DFT calculation with GGA-PBE was carried out for a geometry-optimized HgBi3 structure.

Computed properties:
* DFT formation energy: 0.11 eV/atom
* calculated total energy: -46.1 eV per cell
* excess energy over the best structure of this formula in the dataset: 19 meV per atom

abc: 7.832 7.832 7.832
angles: 90.00 90.00 90.00
Space group Fm-3m (No. 225)
Asymmetric unit:
Hg1 0.000 0.000 0.000
Bi1 0.000 0.000 0.500
Bi2 0.250 0.250 0.250

(2)
A plane-wave DFT calculation with GGA-PBE was carried out for a geometry-optimized Ti6NbTl structure.

Computed properties:
* DFT formation energy: 0.07 eV/atom
* calculated total energy: -177.7 eV per cell

abc: 4.6984 4.6984 22.7078
angles: 90.00 90.00 120.00
Space group R-3m (No. 166, hexagonal axes)
Asymmetric unit:
Ti1 0.0000 0.0000 0.1201
Ti2 0.0000 0.0000 0.2508
Ti3 0.0000 0.0000 0.3697
Nb1 0.0000 0.0000 0.0000
Tl1 0.0000 0.0000 0.5000

(3)
A plane-wave DFT calculation with GGA-PBE was carried out for a geometry-optimized TbPm7Ho4 structure.

Computed properties:
* DFT formation energy: 0.00 eV/atom
* calculated total energy: -56.2 eV per cell
* excess energy over the best structure of this formula in the dataset: 0 meV per atom

abc: 6.291 7.256 8.948
angles: 89.99 76.47 89.98
Space group P-1 (No. 2)
Asymmetric unit:
Tb1 0.000 0.000 0.000
Pm1 0.000 0.500 0.000
Pm2 0.222 0.000 0.334
Pm3 0.279 0.251 0.665
Pm4 0.499 0.748 0.999
Ho1 0.220 0.500 0.335
Ho2 0.278 0.748 0.667